Entry from the Alexandria database: a relaxed structure of AcDy3 (PBE).

Lattice parameters (Å, degrees): 8.2312 8.2312 8.2312 90.00 90.00 90.00
Fractional positions:
Ac 0.0000 0.0000 0.0000
Ac 0.0000 0.5000 0.5000
Ac 0.5000 0.0000 0.5000
Ac 0.5000 0.5000 0.0000
Dy 0.0000 0.0000 0.5000
Dy 0.0000 0.5000 0.0000
Dy 0.2500 0.2500 0.2500
Dy 0.2500 0.2500 0.7500
Dy 0.2500 0.7500 0.2500
Dy 0.2500 0.7500 0.7500
Dy 0.5000 0.0000 0.0000
Dy 0.5000 0.5000 0.5000
Dy 0.7500 0.2500 0.2500
Dy 0.7500 0.2500 0.7500
Dy 0.7500 0.7500 0.2500
Dy 0.7500 0.7500 0.7500

Values from the calculation:
Calculated total energy (eV/atom): -4.34
Excess energy over the best structure of this formula in the dataset (meV/atom): 91
E_form (eV/atom): 0.14
Magnetization (μB/f.u.): 0.0

Entry from the Alexandria database: a relaxed structure of Ag2TeIr (PBE).

Lattice parameters (Å, degrees): 3.9340 3.9340 9.5786 90.00 90.00 90.00
Fractional positions:
Ag 0.0000 0.5000 0.2500
Ag 0.0000 0.5000 0.7500
Ag 0.5000 0.0000 0.2500
Ag 0.5000 0.0000 0.7500
Te 0.0000 0.0000 0.0000
Te 0.5000 0.5000 0.5000
Ir 0.0000 0.0000 0.5000
Ir 0.5000 0.5000 0.0000

Values from the calculation:
Calculated total energy (eV/atom): -4.09
Magnetization (μB/f.u.): 0.0
ΔE_f (raw) (eV per formula unit): 1.34

Entry from the Alexandria database: a relaxed structure of ErAsH (PBE).

Lattice parameters (Å, degrees): 3.9921 3.9921 7.0114 90.00 90.00 90.00
Fractional positions:
Er 0.0000 0.0000 0.0000
Er 0.5000 0.5000 0.5000
As 0.0000 0.0000 0.4160
As 0.5000 0.5000 0.9160
H 0.0000 0.0000 0.6903
H 0.5000 0.5000 0.1903

Values from the calculation:
Calculated total energy (eV/atom): -4.62
Excess energy over the best structure of this formula in the dataset (meV/atom): 361
Magnetization (μB/f.u.): 0.0

Entry from the Alexandria database: a relaxed structure of BaReOs (PBE).

Lattice parameters (Å, degrees): 4.1617 4.1617 5.3634 90.00 90.00 120.00
Fractional positions:
Ba 0.0000 0.0000 0.0000
Re 0.6667 0.3333 0.5281
Os 0.3333 0.6667 0.4678

Values from the calculation:
Calculated total energy (eV/atom): -8.00
Excess energy over the best structure of this formula in the dataset (meV/atom): 0
E_form (eV/atom): 0.54
Magnetization (μB/f.u.): 0.0

Entry from the Alexandria database: a relaxed structure of Tb8Nd2Ho (PBE).

Lattice parameters (Å, degrees): 8.9328 8.9328 6.7030 99.66 99.66 43.98
Fractional positions:
Tb 0.0883 0.0883 0.4076
Tb 0.1495 0.6749 0.0957
Tb 0.2563 0.2563 0.1934
Tb 0.3251 0.8505 0.9043
Tb 0.6749 0.1495 0.0957
Tb 0.7437 0.7437 0.8066
Tb 0.8505 0.3251 0.9043
Tb 0.9117 0.9117 0.5924
Nd 0.3014 0.3014 0.7017
Nd 0.6986 0.6986 0.2983
Ho 0.5000 0.5000 0.5000

Values from the calculation:
Calculated total energy (eV/atom): -4.49
Excess energy over the best structure of this formula in the dataset (meV/atom): 140
E_form (eV/atom): 0.16
Magnetization (μB/f.u.): 0.0

Entry from the Alexandria database: a relaxed structure of NbPtW2Au (PBE).

Lattice parameters (Å, degrees): 4.7895 4.7895 4.8259 90.00 90.00 90.00
Fractional positions:
Nb 0.0000 0.0000 0.0000
Pt 0.5000 0.5000 0.0000
W 0.0000 0.5000 0.5000
W 0.5000 0.0000 0.5000
Au 0.5000 0.5000 0.5000

Values from the calculation:
Calculated total energy (eV/atom): -6.84
E_form (eV/atom): 2.22
Magnetization (μB/f.u.): 0.0

Number 1: D(E_F) 28.39 states/eV per cell. Number 2: D(E_F) 2.98 states/eV per cell. Number 3: D(E_F) 2.61 states/eV per cell. Number 4: D(E_F) 3.66 states/eV per cell. Number 5: D(E_F) 16.24 states/eV per cell. Number 6: D(E_F) 6.72 states/eV per cell.